! LiAg2W, optimized geometry, DFT PBE-GGA; values from VASP
&SYSTEM
  ibrav = 0, nat = 12, ntyp = 3
/
ATOMIC_SPECIES
Li 6.94 Li.upf
Ag 107.87 Ag.upf
W 183.84 W.upf
CELL_PARAMETERS angstrom
2.817 0.000 0.000
-1.409 2.440 0.000
0.000 0.000 28.887
ATOMIC_POSITIONS crystal
Li 0.000 0.000 0.000
Li 0.333 0.667 0.667
Li 0.667 0.333 0.333
Ag 0.000 0.000 0.253
Ag 0.000 0.000 0.747
Ag 0.333 0.667 0.414
Ag 0.333 0.667 0.919
Ag 0.667 0.333 0.081
Ag 0.667 0.333 0.586
W 0.000 0.000 0.500
W 0.333 0.667 0.167
W 0.667 0.333 0.833
! Total magnetic moment ... 0.0 μB/cell
! ΔE_f ... 0.324 eV per atom
! SG ... R-3m (166)



! LiAg2W, optimized geometry, DFT PBE-GGA; values from VASP
&SYSTEM
  ibrav = 0, nat = 4, ntyp = 3
/
ATOMIC_SPECIES
Li 6.94 Li.upf
Ag 107.87 Ag.upf
W 183.84 W.upf
CELL_PARAMETERS angstrom
2.761 0.000 0.000
0.000 2.761 0.000
0.000 0.000 8.458
ATOMIC_POSITIONS crystal
Li 0.000 0.000 0.000
Ag 0.500 0.500 0.239
Ag 0.500 0.500 0.761
W 0.000 0.000 0.500
! Total magnetic moment ... 0.0 μB/cell
! ΔE_f ... 0.320 eV per atom
! SG ... P4/mmm (123)



| no. | E above lowest polymorph (meV/atom) |
| --- | --- |
| 1 | 3.9 |
| 2 | 0.4 |